GGA-PBE Li2CdAgF8, optimized geometry; volume = 13.08 A^3/atom; formation energy (no corrections) = -1.8574 eV per atom; total DFT energy (no corrections) = -3.738 eV/atom
1.0
-1.331 -4.012 -2.204
1.063 -2.572 3.890
-6.425 0.834 2.322
Cd F Li Ag
1 8 2 1
Direct
0.000 0.000 0.500
0.287 0.288 0.999
0.686 0.685 0.500
0.794 0.204 0.228
0.314 0.315 0.500
0.206 0.796 0.772
0.794 0.204 0.772
0.713 0.712 0.001
0.206 0.796 0.228
0.499 0.499 0.721
0.501 0.501 0.279
0.000 0.000 0.000

GGA-PBE CsTa3Ag, optimized geometry; volume = 25.24 A^3/atom; energy of formation = 3.17 eV/atom; total DFT energy (no corrections) = -4.679 eV/atom
1.0
-1.306 -3.523 -3.323
-2.400 -2.519 3.613
-4.207 2.531 -1.030
Ta Ag Cs
3 1 1
Direct
0.500 0.000 0.000
0.000 0.000 0.500
0.000 0.500 0.000
0.500 0.500 0.500
0.000 0.000 0.000

GGA-PBE LiRe2P, optimized geometry; volume = 13.47 A^3/atom; energy of formation = 0.14 eV/atom; total DFT energy (no corrections) = -7.918 eV/atom
1.0
4.239 0.000 0.000
2.120 3.671 0.000
2.120 1.224 3.461
Li Re P
1 2 1
Direct
0.500 0.500 0.500
0.000 0.000 0.000
0.250 0.250 0.250
0.750 0.750 0.750

GGA-PBE BaHo2Ru, optimized geometry; volume = 36.09 A^3/atom; energy of formation = 0.04 eV/atom; total DFT energy (no corrections) = -5.053 eV/atom; offset from the most stable computed form = 193 meV/atom
1.0
-1.292 -0.339 -3.713
0.524 -3.378 -1.971
-9.685 -4.806 1.713
Ru Ba Ho
1 1 2
Direct
0.500 0.500 0.500
0.000 0.000 0.000
0.880 0.880 0.361
0.120 0.120 0.639

GGA-PBE TbSmTmHg, optimized geometry; volume = 28.25 A^3/atom; energy of formation = -0.07 eV/atom; total DFT energy (no corrections) = -3.600 eV/atom
1.0
5.427 0.000 0.000
2.713 4.700 0.000
2.713 1.567 4.431
Hg Sm Tm Tb
1 1 1 1
Direct
0.750 0.750 0.750
0.500 0.500 0.500
0.250 0.250 0.250
0.000 0.000 0.000

GGA-PBE KSr2HfNb, optimized geometry; volume = 42.81 A^3/atom; energy of formation = 2.13 eV/atom; total DFT energy (no corrections) = -2.772 eV/atom
1.0
-2.984 -4.426 2.778
-1.596 -2.214 -5.243
4.967 -3.397 -0.077
Sr K Hf Nb
2 1 1 1
Direct
0.000 0.000 0.500
0.500 0.000 0.000
0.000 0.500 0.000
0.000 0.000 0.000
0.500 0.500 0.500

GGA-PBE AlSb, optimized geometry; volume = 22.96 A^3/atom; formation energy (no corrections) = 0.2742 eV per atom; total DFT energy (no corrections) = -3.658 eV/atom
1.0
-0.366 -1.387 2.906
1.479 -1.613 -2.390
4.443 1.900 1.466
Sb Al
1 1
Direct
0.667 0.333 0.500
0.000 0.000 0.000

GGA-PBE GeRhS3, optimized geometry; volume = 20.11 A^3/atom; formation energy (no corrections) = 0.4138 eV per atom; total DFT energy (no corrections) = -4.456 eV/atom
1.0
-2.298 1.579 -3.721
0.724 -4.051 -2.166
-3.977 -1.650 1.756
S Rh Ge
3 1 1
Direct
0.000 0.000 0.500
0.000 0.500 0.000
0.500 0.000 0.000
0.000 0.000 0.000
0.500 0.500 0.500

GGA-PBE CuTe2Br, optimized geometry; volume = 31.00 A^3/atom; formation energy (no corrections) = -0.0306 eV per atom; total DFT energy (no corrections) = -3.044 eV/atom
1.0
4.023 0.164 0.002
1.648 7.894 -0.002
2.016 0.079 7.877
Te Cu Br
4 2 2
Direct
0.198 0.619 0.244
0.558 0.881 0.244
0.802 0.381 0.756
0.442 0.119 0.756
0.739 0.750 0.521
0.261 0.250 0.479
0.858 0.250 0.284
0.142 0.750 0.716

GGA-PBE NiPb2, optimized geometry; volume = 23.79 A^3/atom; energy of formation = 0.19 eV/atom; total DFT energy (no corrections) = -4.206 eV/atom
1.0
1.692 -8.910 0.000
1.692 8.910 0.000
0.000 0.000 4.734
Ni Pb
2 4
Direct
0.946 0.054 0.750
0.054 0.946 0.250
0.309 0.691 0.750
0.691 0.309 0.250
0.431 0.569 0.250
0.569 0.431 0.750

GGA-PBE CrRh9W2, optimized geometry; volume = 14.30 A^3/atom; energy of formation = -0.20 eV/atom; total DFT energy (no corrections) = -8.676 eV/atom
1.0
-0.024 1.875 -3.370
-3.852 0.145 0.108
0.536 10.074 5.599
Rh W Cr
9 2 1
Direct
0.000 0.500 0.833
0.500 0.000 0.833
0.500 0.000 0.500
0.500 0.500 0.000
0.500 0.500 0.666
0.500 0.500 0.334
0.000 0.500 0.167
0.500 0.000 0.167
0.000 0.500 0.500
0.000 0.000 0.672
0.000 0.000 0.328
0.000 0.000 0.000

GGA-PBE PIrOs3, optimized geometry; volume = 20.82 A^3/atom; energy of formation = 2.61 eV/atom; total DFT energy (no corrections) = -6.985 eV/atom; offset from the most stable computed form = 1462 meV/atom
1.0
4.704 0.000 0.000
0.000 4.704 0.000
0.000 0.000 4.704
Os Ir P
3 1 1
Direct
0.500 0.000 0.000
0.000 0.500 0.000
0.000 0.000 0.500
0.000 0.000 0.000
0.500 0.500 0.500

GGA-PBE Nb2InSn, optimized geometry; volume = 21.73 A^3/atom; energy of formation = 0.43 eV/atom; total DFT energy (no corrections) = -6.291 eV/atom
1.0
3.081 0.000 0.000
1.541 2.668 0.000
1.541 0.889 10.572
Nb Sn In
2 1 1
Direct
0.090 0.090 0.730
0.910 0.910 0.270
0.500 0.500 0.500
0.000 0.000 0.000

GGA-PBE Er4AlS2, optimized geometry; volume = 23.62 A^3/atom; formation energy (no corrections) = -1.2463 eV per atom; total DFT energy (no corrections) = -5.568 eV/atom
1.0
-3.654 1.258 -0.054
1.684 -1.317 -6.379
-4.317 -12.475 1.436
Er S Al
8 4 2
Direct
0.770 0.539 0.120
0.500 0.000 0.500
0.230 0.461 0.620
0.230 0.461 0.880
0.500 0.000 0.000
0.069 0.138 0.250
0.931 0.862 0.750
0.770 0.539 0.380
0.864 0.729 0.559
0.136 0.271 0.441
0.136 0.271 0.059
0.864 0.729 0.941
0.394 0.788 0.250
0.606 0.212 0.750

GGA-PBE Tm6Cu2Tc, optimized geometry; volume = 23.34 A^3/atom; energy of formation = -0.14 eV/atom; total DFT energy (no corrections) = -5.187 eV/atom
1.0
-1.394 6.584 -4.636
7.378 -3.002 -1.827
-5.725 -5.652 -1.439
Tm Tc Cu
12 2 4
Direct
0.285 0.956 0.671
0.812 0.260 0.071
0.715 0.386 0.671
0.568 0.744 0.825
0.081 0.256 0.825
0.812 0.740 0.552
0.432 0.256 0.175
0.188 0.740 0.929
0.919 0.744 0.175
0.285 0.614 0.329
0.715 0.044 0.329
0.188 0.260 0.448
0.000 0.000 0.000
0.000 0.500 0.500
0.353 0.000 0.353
0.647 0.000 0.647
0.500 0.624 0.124
0.500 0.376 0.876